The following is a PBE calculation of an optimized crystal structure of Hf2SbP4, from Alexandria via LeMat-Bulk.

abc: 4.9386 4.9386 13.1553
angles: 90.00 90.00 90.00
With the nearest neighbours (Å) after each atom.
Space group I4/mmm (No. 139)
Asymmetric unit:
Hf  0.0000  0.0000  0.1168 [4 per cell]  1 P 2.41
Sb  0.0000  0.0000  0.5000 [2 per cell]  6 P 2.47-2.63
P  0.0000  0.0000  0.2997 [4 per cell]  1 Hf 2.41, 1 Sb 2.63
P  0.0000  0.5000  0.0000 [4 per cell]  2 Sb 2.47

Calculated values
E_form (uncorrected) in eV/f.u.: 2.307
DFT total energy in eV/cell: -86.72
Crystal system: tetragonal
DOS(E_F) in states/eV per cell: 6.51